Record 1
{
  "formula": "Ba2PF",
  "functional": "PBE",
  "state": "relaxed",
  "lattice_angstrom": [[4.5275, 0.0000, 0.0000], [-2.2638, 3.9210, 0.0000], [0.0000, 0.0000, 20.5199]],
  "species": ["Ba", "Ba", "Ba", "Ba", "Ba", "Ba", "P", "P", "P", "F", "F", "F"],
  "frac_coords": [[0.0000, 0.0000, 0.2481], [0.0000, 0.0000, 0.7519], [0.3333, 0.6667, 0.4186], [0.3333, 0.6667, 0.9148], [0.6667, 0.3333, 0.0853], [0.6667, 0.3333, 0.5814], [0.0000, 0.0000, 0.0000], [0.3333, 0.6667, 0.6667], [0.6667, 0.3333, 0.3333], [0.0000, 0.0000, 0.5000], [0.3333, 0.6667, 0.1667], [0.6667, 0.3333, 0.8333]],
  "raw_formation_energy_mev_per_atom": -1983,
  "sg": "No. 166"
}

Record 2
{
  "formula": "Ba2PF",
  "functional": "PBE",
  "state": "relaxed",
  "lattice_angstrom": [[7.9931, 0.0000, 0.0000], [0.0000, 4.6114, 0.0000], [-0.0091, 0.0000, 7.3875]],
  "species": ["Ba", "Ba", "Ba", "Ba", "P", "P", "F", "F"],
  "frac_coords": [[0.0000, 0.0000, 0.0000], [0.1668, 0.5000, 0.4674], [0.5000, 0.5000, 0.0000], [0.6668, 0.0000, 0.4674], [0.3335, 0.0000, 0.2538], [0.8335, 0.5000, 0.2538], [0.1655, 0.5000, 0.8285], [0.6655, 0.0000, 0.8285]],
  "raw_formation_energy_mev_per_atom": -2006,
  "sg": "No. 8"
}

What did we get for total magnetization? Answer: 0.00 0.00 μB/f.u., in the order shown.
What did we get for electronic total energy? Answer: -4.765 -4.788 eV per atom, in the order shown.
What did we get for energy relative to the lowest polymorph listed for this composition? Answer: 23 0 meV/atom, in the order shown.